Record 1
GaSiPt: relaxed, PBE.

Output
Fermi-level density of states: 3.3 states/eV/cell
Electronic total energy: -5.354 eV/atom
Formation energy (no corrections): -0.524 eV per atom
Spin magnetization: 0.00 μB/cell

Lattice parameters (Å, degrees): 5.8988 5.8988 5.8988 90.00 90.00 90.00
Space group F-43m (No. 216)
One atom of each set of equivalent atoms:
Ga 0.0000 0.0000 0.0000
Si 0.0000 0.0000 0.5000
Pt 0.2500 0.2500 0.7500

=====

Record 2
GaSi2Pt3: relaxed, PBE.

Output
Fermi-level density of states: 2.5 states/eV/cell
Electronic total energy: -5.959 eV/atom
Formation energy (no corrections): -0.627 eV per atom
Spin magnetization: 0.00 μB/cell

Lattice parameters (Å, degrees): 6.0413 3.5437 8.8924 90.00 99.62 90.00
Space group P2_1/m (No. 11)
One atom of each set of equivalent atoms:
Ga 0.0518 0.2500 0.3758
Si 0.3042 0.2500 0.0373
Si 0.4989 0.2500 0.7124
Pt 0.0972 0.7500 0.1498
Pt 0.3020 0.7500 0.8332
Pt 0.3213 0.7500 0.5109

=====

Record 3
Ga8SiPt6: relaxed, PBE.

Output
Fermi-level density of states: 11.1 states/eV/cell
Electronic total energy: -4.980 eV/atom
Formation energy (no corrections): -0.588 eV per atom
Spin magnetization: 0.00 μB/cell

Lattice parameters (Å, degrees): 7.3897 7.3897 16.0275 90.00 90.00 120.00
Space group R-3 (No. 148, hexagonal axes)
One atom of each set of equivalent atoms:
Ga 0.0000 0.0000 0.1656
Ga 0.0033 0.3434 0.3806
Si 0.0000 0.0000 0.5000
Pt 0.0009 0.3227 0.5548